Record 1
# NiMoPPd2

Crystalline NiMoPPd2 at its relaxed geometry (PBE, Alexandria via LeMat-Bulk).

Computed properties:
Formation enthalpy at 0 K: 1.117 eV/atom

Cell: 4.5736 4.5736 4.3599 Å, 90.00 90.00 90.00°
Space group P4/mmm (No. 123)
One atom of each set of equivalent atoms:
Ni1 0.0000 0.0000 0.0000
Mo1 0.0000 0.0000 0.5000
P1 0.5000 0.5000 0.5000
Pd1 0.0000 0.5000 0.0000



Record 2
# TeRu2

Crystalline TeRu2 at its relaxed geometry (PBE, Alexandria via LeMat-Bulk).

Computed properties:
Formation energy from raw total energies: 0.573 eV/atom
Polymorph energy (0 for the lowest one): 459 meV/atom

Cell: 3.6433 3.6433 7.7614 Å, 90.00 90.00 90.00°
Space group I4/mmm (No. 139)
One atom of each set of equivalent atoms:
Te1 0.0000 0.0000 0.0000
Ru1 0.0000 0.0000 0.3318



Record 3
# Cu2HgBr

Crystalline Cu2HgBr at its relaxed geometry (PBE, Alexandria via LeMat-Bulk).

Computed properties:
Formation energy from raw total energies: 0.366 eV/atom
Polymorph energy (0 for the lowest one): 368 meV/atom

Cell: 6.6049 6.6335 3.3720 Å, 90.00 90.00 90.00°
Space group Cmmm (No. 65)
One atom of each set of equivalent atoms:
Cu1 0.2500 0.2500 0.0000
Hg1 0.0000 0.0000 0.5000
Br1 0.0000 0.5000 0.5000



Record 4
# CaYMgIn

Crystalline CaYMgIn at its relaxed geometry (PBE, Alexandria via LeMat-Bulk).

Computed properties:
Formation enthalpy at 0 K: -0.323 eV/atom

Cell: 7.6303 7.6303 7.6303 Å, 90.00 90.00 90.00°
Space group F-43m (No. 216)
One atom of each set of equivalent atoms:
Ca1 0.0000 0.0000 0.0000
Y1 0.0000 0.0000 0.5000
Mg1 0.2500 0.2500 0.2500
In1 0.2500 0.2500 0.7500



Record 5
# Zr2ScTe

Crystalline Zr2ScTe at its relaxed geometry (PBE, Alexandria via LeMat-Bulk).

Computed properties:
Formation energy from raw total energies: -0.218 eV/atom

Cell: 3.4940 3.4940 27.8305 Å, 90.00 90.00 120.00°
Space group R-3m (No. 166, hexagonal axes)
One atom of each set of equivalent atoms:
Zr1 0.0000 0.0000 0.2444
Sc1 0.0000 0.0000 0.0000
Te1 0.0000 0.0000 0.5000



Record 6
# CsMg3Tl9

Crystalline CsMg3Tl9 at its relaxed geometry (PBE, Alexandria via LeMat-Bulk).

Computed properties:
Formation enthalpy at 0 K: -0.027 eV/atom

Cell: 6.2787 16.0763 8.4010 Å, 90.00 111.50 90.00°
Space group C2/m (No. 12)
One atom of each set of equivalent atoms:
Cs1 0.0000 0.0000 0.0000
Mg1 0.0000 0.5000 0.5000
Mg2 0.2500 0.2500 0.0000
Tl1 0.0000 0.0000 0.5000
Tl2 0.0967 0.3884 0.2159
Tl3 0.1776 0.1795 0.3505



no.,total energy (eV/atom),calculated density (Mg/m³)
1,-5.365,7.3
2,-6.658,10.6
3,-2.176,9.2
4,-3.523,4.0
5,-6.860,6.0
6,-2.099,8.6